[1]
This record from Alexandria via LeMat-Bulk describes an optimized crystal structure of ReTcBr. The functional is PBE.

Summary:
total magnetic moment: 0.0000 μB per atom
raw formation energy: 0.589 eV per atom
DFT total energy: -7.573 eV per atom

Geometry as CIF:
```
data_ReTcBr
_symmetry_space_group_name_H-M 'P 3 m 1'
_symmetry_Int_Tables_number 156
_cell_length_a 2.9459
_cell_length_b 2.9459
_cell_length_c 6.4836
_cell_angle_alpha 90.00
_cell_angle_beta 90.00
_cell_angle_gamma 120.00
loop_
_symmetry_equiv_pos_as_xyz
'x,y,z'
'-y,x-y,z'
'-x+y,-x,z'
'-y,-x,z'
'-x+y,y,z'
'x,x-y,z'
loop_
_atom_site_label
_atom_site_fract_x
_atom_site_fract_y
_atom_site_fract_z
Re1 0.0000 0.0000 0.0000
Tc1 0.6667 0.3333 0.3070
Br1 0.3333 0.6667 0.6476
```


[2]
This record from Alexandria via LeMat-Bulk describes an optimized crystal structure of ReTc2Br. The functional is PBE.

Summary:
total magnetic moment: 0.0000 μB per atom
raw formation energy: 0.584 eV per atom
DFT total energy: -8.129 eV per atom

Geometry as CIF:
```
data_ReTc2Br
_symmetry_space_group_name_H-M 'R 3 m'
_symmetry_Int_Tables_number 160
_symmetry_space_group_name_Hall 'R 3 -2"'
_cell_length_a 2.8892
_cell_length_b 2.8892
_cell_length_c 26.1372
_cell_angle_alpha 90.00
_cell_angle_beta 90.00
_cell_angle_gamma 120.00
loop_
_atom_site_label
_atom_site_fract_x
_atom_site_fract_y
_atom_site_fract_z
Re1 0.0000 0.0000 0.0000
Tc1 0.0000 0.0000 0.4958
Tc2 0.0000 0.0000 0.7468
Br1 0.0000 0.0000 0.2433
```


[3]
This record from Alexandria via LeMat-Bulk describes an optimized crystal structure of ReTc2Br. The functional is PBE.

Summary:
total magnetic moment: 0.0000 μB per atom
raw formation energy: 0.807 eV per atom
DFT total energy: -7.907 eV per atom

Geometry as CIF:
```
data_ReTc2Br
_symmetry_space_group_name_H-M 'I m m 2'
_symmetry_Int_Tables_number 44
_cell_length_a 2.964
_cell_length_b 4.472
_cell_length_c 9.198
_cell_angle_alpha 90.00
_cell_angle_beta 90.00
_cell_angle_gamma 90.00
loop_
_symmetry_equiv_pos_as_xyz
'x,y,z'
'-x,-y,z'
'-x,y,z'
'x,-y,z'
'x+1/2,y+1/2,z+1/2'
'-x+1/2,-y+1/2,z+1/2'
'-x+1/2,y+1/2,z+1/2'
'x+1/2,-y+1/2,z+1/2'
loop_
_atom_site_label
_atom_site_fract_x
_atom_site_fract_y
_atom_site_fract_z
Re1 0.000 0.000 0.000
Tc1 0.000 0.000 0.534
Tc2 0.000 0.500 0.760
Br1 0.000 0.500 0.263
```


[4]
This record from Alexandria via LeMat-Bulk describes an optimized crystal structure of ReTcBr. The functional is PBE.

Summary:
total magnetic moment: 0.0000 μB per atom
raw formation energy: 1.019 eV per atom
DFT total energy: -7.143 eV per atom

Geometry as CIF:
```
data_ReTcBr
_symmetry_space_group_name_H-M 'P 3 m 1'
_symmetry_Int_Tables_number 156
_cell_length_a 4.2860
_cell_length_b 4.2860
_cell_length_c 2.9680
_cell_angle_alpha 90.00
_cell_angle_beta 90.00
_cell_angle_gamma 120.00
loop_
_symmetry_equiv_pos_as_xyz
'x,y,z'
'-y,x-y,z'
'-x+y,-x,z'
'-y,-x,z'
'-x+y,y,z'
'x,x-y,z'
loop_
_atom_site_label
_atom_site_fract_x
_atom_site_fract_y
_atom_site_fract_z
Re1 0.0000 0.0000 0.0000
Tc1 0.6667 0.3333 0.4914
Br1 0.3333 0.6667 0.7961
```


[5]
This record from Alexandria via LeMat-Bulk describes an optimized crystal structure of ReTc2Br. The functional is PBE.

Summary:
total magnetic moment: 0.0000 μB per atom
raw formation energy: 1.194 eV per atom
DFT total energy: -7.519 eV per atom

Geometry as CIF:
```
data_ReTc2Br
_symmetry_space_group_name_H-M 'I -4 m 2'
_symmetry_Int_Tables_number 119
_symmetry_space_group_name_Hall 'I -4 -2'
_cell_length_a 3.838
_cell_length_b 3.838
_cell_length_c 8.498
_cell_angle_alpha 90.00
_cell_angle_beta 90.00
_cell_angle_gamma 90.00
loop_
_atom_site_label
_atom_site_fract_x
_atom_site_fract_y
_atom_site_fract_z
Re1 0.000 0.000 0.000
Tc1 0.000 0.000 0.500
Tc2 0.000 0.500 0.750
Br1 0.000 0.500 0.250
```


[6]
This record from Alexandria via LeMat-Bulk describes an optimized crystal structure of ReTc2Br. The functional is PBE.

Summary:
total magnetic moment: 0.0000 μB per atom
raw formation energy: 0.485 eV per atom
DFT total energy: -8.229 eV per atom

Geometry as CIF:
```
data_ReTc2Br
_symmetry_space_group_name_H-M 'R -3 m'
_symmetry_Int_Tables_number 166
_symmetry_space_group_name_Hall '-R 3 2"'
_cell_length_a 2.8987
_cell_length_b 2.8987
_cell_length_c 25.8794
_cell_angle_alpha 90.00
_cell_angle_beta 90.00
_cell_angle_gamma 120.00
loop_
_atom_site_label
_atom_site_fract_x
_atom_site_fract_y
_atom_site_fract_z
Re1 0.0000 0.0000 0.0000
Tc1 0.0000 0.0000 0.2515
Br1 0.0000 0.0000 0.5000
```


[7]
This record from Alexandria via LeMat-Bulk describes an optimized crystal structure of Re2TcBr2. The functional is PBE.

Summary:
total magnetic moment: 0.0000 μB per atom
raw formation energy: 1.751 eV per atom
DFT total energy: -5.971 eV per atom

Geometry as CIF:
```
data_Re2TcBr2
_symmetry_space_group_name_H-M 'P 4/m b m'
_symmetry_Int_Tables_number 127
_symmetry_space_group_name_Hall '-P 4 2ab'
_cell_length_a 7.553
_cell_length_b 7.553
_cell_length_c 2.896
_cell_angle_alpha 90.00
_cell_angle_beta 90.00
_cell_angle_gamma 90.00
loop_
_atom_site_label
_atom_site_fract_x
_atom_site_fract_y
_atom_site_fract_z
Re1 0.173 0.327 0.000
Tc1 0.000 0.000 0.500
Br1 0.137 0.637 0.500
```


[8]
This record from Alexandria via LeMat-Bulk describes an optimized crystal structure of ReTc2Br. The functional is PBE.

Summary:
total magnetic moment: 0.0000 μB per atom
raw formation energy: 0.772 eV per atom
DFT total energy: -7.941 eV per atom

Geometry as CIF:
```
data_ReTc2Br
_symmetry_space_group_name_H-M 'P 1 2/m 1'
_symmetry_Int_Tables_number 10
_cell_length_a 2.916
_cell_length_b 4.016
_cell_length_c 5.580
_cell_angle_alpha 90.00
_cell_angle_beta 103.08
_cell_angle_gamma 90.00
loop_
_symmetry_equiv_pos_as_xyz
'x,y,z'
'-x,-y,-z'
'-x,y,-z'
'x,-y,z'
loop_
_atom_site_label
_atom_site_fract_x
_atom_site_fract_y
_atom_site_fract_z
Re1 0.000 0.000 0.000
Tc1 0.395 0.500 0.772
Br1 0.000 0.000 0.500
```


[9]
This record from Alexandria via LeMat-Bulk describes an optimized crystal structure of ReTc2Br. The functional is PBE.

Summary:
total magnetic moment: 0.0000 μB per atom
raw formation energy: 0.754 eV per atom
DFT total energy: -7.959 eV per atom

Geometry as CIF:
```
data_ReTc2Br
_symmetry_space_group_name_H-M 'P 1 m 1'
_symmetry_Int_Tables_number 6
_cell_length_a 2.918
_cell_length_b 4.029
_cell_length_c 5.718
_cell_angle_alpha 90.00
_cell_angle_beta 104.74
_cell_angle_gamma 90.00
loop_
_symmetry_equiv_pos_as_xyz
'x,y,z'
'x,-y,z'
loop_
_atom_site_label
_atom_site_fract_x
_atom_site_fract_y
_atom_site_fract_z
Re1 0.000 0.000 0.000
Tc1 0.218 0.000 0.438
Tc2 0.618 0.500 0.238
Br1 0.847 0.500 0.689
```


[10]
This record from Alexandria via LeMat-Bulk describes an optimized crystal structure of ReTc2Br. The functional is PBE.

Summary:
total magnetic moment: 0.0000 μB per atom
raw formation energy: 1.032 eV per atom
DFT total energy: -7.681 eV per atom

Geometry as CIF:
```
data_ReTc2Br
_symmetry_space_group_name_H-M 'F m -3 m'
_symmetry_Int_Tables_number 225
_symmetry_space_group_name_Hall '-F 4 2 3'
_cell_length_a 6.300
_cell_length_b 6.300
_cell_length_c 6.300
_cell_angle_alpha 90.00
_cell_angle_beta 90.00
_cell_angle_gamma 90.00
loop_
_atom_site_label
_atom_site_fract_x
_atom_site_fract_y
_atom_site_fract_z
Re1 0.000 0.000 0.000
Tc1 0.250 0.250 0.250
Br1 0.000 0.000 0.500
```


[11]
This record from Alexandria via LeMat-Bulk describes an optimized crystal structure of ReTcBr. The functional is PBE.

Summary:
total magnetic moment: 0.0000 μB per atom
raw formation energy: 0.596 eV per atom
DFT total energy: -7.567 eV per atom

Geometry as CIF:
```
data_ReTcBr
_symmetry_space_group_name_H-M 'I 4 m m'
_symmetry_Int_Tables_number 107
_symmetry_space_group_name_Hall 'I 4 -2'
_cell_length_a 2.996
_cell_length_b 2.996
_cell_length_c 11.185
_cell_angle_alpha 90.00
_cell_angle_beta 90.00
_cell_angle_gamma 90.00
loop_
_atom_site_label
_atom_site_fract_x
_atom_site_fract_y
_atom_site_fract_z
Re1 0.000 0.000 0.000
Tc1 0.000 0.000 0.634
Br1 0.000 0.000 0.318
```


[12]
This record from Alexandria via LeMat-Bulk describes an optimized crystal structure of ReTc2Br. The functional is PBE.

Summary:
total magnetic moment: 0.0000 μB per atom
raw formation energy: 1.051 eV per atom
DFT total energy: -7.663 eV per atom

Geometry as CIF:
```
data_ReTc2Br
_symmetry_space_group_name_H-M 'C 1 2/m 1'
_symmetry_Int_Tables_number 12
_cell_length_a 5.378
_cell_length_b 8.027
_cell_length_c 2.947
_cell_angle_alpha 90.00
_cell_angle_beta 99.83
_cell_angle_gamma 90.00
loop_
_symmetry_equiv_pos_as_xyz
'x,y,z'
'-x,-y,-z'
'-x,y,-z'
'x,-y,z'
'x+1/2,y+1/2,z'
'-x+1/2,-y+1/2,-z'
'-x+1/2,y+1/2,-z'
'x+1/2,-y+1/2,z'
loop_
_atom_site_label
_atom_site_fract_x
_atom_site_fract_y
_atom_site_fract_z
Re1 0.000 0.000 0.000
Tc1 0.250 0.250 0.500
Br1 0.000 0.500 0.000
```


[13]
This record from Alexandria via LeMat-Bulk describes an optimized crystal structure of ReTc2Br. The functional is PBE.

Summary:
total magnetic moment: 0.0000 μB per atom
raw formation energy: 1.120 eV per atom
DFT total energy: -7.593 eV per atom

Geometry as CIF:
```
data_ReTc2Br
_symmetry_space_group_name_H-M 'I -4 2 d'
_symmetry_Int_Tables_number 122
_symmetry_space_group_name_Hall 'I -4 2bw'
_cell_length_a 5.703
_cell_length_b 5.703
_cell_length_c 10.939
_cell_angle_alpha 90.00
_cell_angle_beta 90.00
_cell_angle_gamma 90.00
loop_
_atom_site_label
_atom_site_fract_x
_atom_site_fract_y
_atom_site_fract_z
Re1 0.000 0.000 0.000
Tc1 0.236 0.250 0.125
Br1 0.000 0.000 0.500
```


[14]
This record from Alexandria via LeMat-Bulk describes an optimized crystal structure of ReTcBr. The functional is PBE.

Summary:
total magnetic moment: 0.0000 μB per atom
raw formation energy: 0.891 eV per atom
DFT total energy: -7.271 eV per atom

Geometry as CIF:
```
data_ReTcBr
_symmetry_space_group_name_H-M 'F m m 2'
_symmetry_Int_Tables_number 42
_symmetry_space_group_name_Hall 'F 2 -2'
_cell_length_a 2.947
_cell_length_b 4.981
_cell_length_c 14.163
_cell_angle_alpha 90.00
_cell_angle_beta 90.00
_cell_angle_gamma 90.00
loop_
_atom_site_label
_atom_site_fract_x
_atom_site_fract_y
_atom_site_fract_z
Re1 0.000 0.000 0.000
Tc1 0.000 0.000 0.358
Br1 0.000 0.000 0.684
```


[15]
This record from Alexandria via LeMat-Bulk describes an optimized crystal structure of Re2TcBr2. The functional is PBE.

Summary:
total magnetic moment: 0.3046 μB per atom
raw formation energy: 1.418 eV per atom
DFT total energy: -6.303 eV per atom

Geometry as CIF:
```
data_Re2TcBr2
_symmetry_space_group_name_H-M 'I 4/m m m'
_symmetry_Int_Tables_number 139
_symmetry_space_group_name_Hall '-I 4 2'
_cell_length_a 4.008
_cell_length_b 4.008
_cell_length_c 11.946
_cell_angle_alpha 90.00
_cell_angle_beta 90.00
_cell_angle_gamma 90.00
loop_
_atom_site_label
_atom_site_fract_x
_atom_site_fract_y
_atom_site_fract_z
Re1 0.000 0.000 0.096
Tc1 0.000 0.000 0.500
Br1 0.000 0.500 0.250
```